No. 1
## Li2VSi4O10 (PBE with a Hubbard U)

Data for Li2VSi4O10 after structural relaxation.

Calculated values
Size of the total moment = 0.176 μB per atom
Total energy = -125.437 eV per formula unit

```
Li2VSi4O10
1.0
6.811 0.000 0.000
-3.248 6.900 0.000
-1.267 -3.609 8.872
Li V Si O
4 2 8 20
Cartesian
0.051 -0.138 4.010
-1.250 5.447 0.433
3.547 -2.157 8.439
2.245 3.428 4.862
-1.553 3.988 5.074
3.849 -0.697 3.799
-1.924 0.057 6.830
-0.096 -2.088 7.547
0.458 3.266 2.452
2.208 0.984 1.545
0.088 2.307 7.327
1.839 0.024 6.420
2.392 5.379 1.325
4.221 3.234 2.042
-1.542 -0.042 5.281
-1.570 -1.319 7.711
-3.315 3.882 6.254
-0.995 3.027 1.740
1.463 0.709 0.086
-1.240 1.347 7.626
1.191 1.783 2.585
2.608 -0.467 2.071
0.981 -0.845 7.499
1.925 -0.701 4.972
0.371 3.992 3.900
1.315 4.136 1.373
-0.312 3.758 6.801
1.105 1.508 6.288
3.536 1.944 1.246
0.833 2.581 8.786
3.291 0.264 7.132
5.611 -0.592 2.618
3.866 4.609 1.162
3.838 3.333 3.591
```

---

No. 2
## Li2V2Si3O9 (PBE with a Hubbard U)

Data for Li2V2Si3O9 after structural relaxation.

Calculated values
Size of the total moment = 0.375 μB per atom
Total energy = -117.739 eV per formula unit

```
Li2V2Si3O9
1.0
10.125 0.000 0.000
-5.062 8.768 0.000
0.000 0.000 12.480
Li V Si O
12 12 18 54
Cartesian
-0.786 1.369 0.000
-0.740 1.419 6.256
-3.267 6.411 9.000
-3.463 8.700 10.416
-3.483 8.764 4.160
1.143 2.733 4.841
3.281 2.113 6.098
2.123 8.392 0.681
6.654 1.785 1.938
5.252 4.870 10.258
4.203 7.417 2.096
4.270 7.403 8.320
-3.335 5.901 3.221
-3.021 5.835 6.248
-0.894 4.390 4.065
1.620 2.929 11.541
1.520 3.234 2.088
-0.813 7.347 8.224
4.152 1.340 0.156
1.707 5.799 12.384
1.501 8.467 10.408
4.147 4.502 4.316
1.716 8.706 7.381
6.888 2.926 8.476
-0.713 1.569 9.232
-1.287 4.439 0.687
-3.347 8.601 0.913
1.619 0.421 7.310
-0.377 4.152 7.383
-1.278 7.019 11.543
-0.574 7.663 4.847
3.912 1.592 9.167
1.861 5.433 9.007
4.138 1.631 3.549
1.656 6.366 3.223
4.406 4.369 7.709
4.485 4.584 0.847
6.643 2.768 11.868
6.790 2.592 5.007
4.060 7.366 5.072
4.618 7.156 11.470
8.951 1.191 3.150
-4.613 8.234 12.372
0.238 0.656 8.212
-1.022 3.016 8.461
-3.610 7.898 2.334
0.028 1.693 10.654
-1.769 4.877 2.166
-0.083 2.375 3.306
-1.770 5.552 12.068
-2.964 7.653 7.465
-0.311 3.442 5.933
-1.361 5.424 7.524
1.346 1.022 5.843
-1.669 6.457 4.646
-1.926 7.317 10.093
0.305 4.094 0.486
1.891 1.468 0.816
-1.939 8.146 0.142
2.791 1.399 7.962
1.139 4.459 7.908
3.663 0.297 4.410
1.046 4.877 3.364
3.211 1.665 10.633
2.901 2.702 3.675
1.723 4.797 10.486
0.315 7.235 11.683
0.046 7.862 6.326
0.631 7.525 3.748
2.941 4.110 0.637
5.094 0.492 8.957
1.364 6.985 8.805
4.807 1.286 2.148
3.773 3.962 6.308
2.237 6.778 1.773
4.596 3.038 8.719
5.196 2.461 4.559
3.488 5.447 8.569
2.962 6.375 4.301
6.335 1.161 11.994
5.395 3.269 0.399
3.047 7.509 11.625
4.898 5.155 2.313
4.878 5.652 12.122
3.583 7.946 6.494
7.077 1.949 6.473
7.907 0.904 9.135
7.517 1.717 3.802
6.607 3.520 10.468
5.952 4.905 7.835
8.566 0.654 1.683
5.388 6.396 4.976
5.275 7.092 10.003
4.375 8.646 4.052
7.151 4.166 4.797
8.036 3.024 0.250
```

---

No. 3
## LiVSiO4 (PBE with a Hubbard U)

Data for LiVSiO4 after structural relaxation.

Calculated values
Size of the total moment = 0.286 μB per atom
ΔE to the lowest computed polymorph = 0.081 eV per atom
Total energy = -50.997 eV per formula unit

```
LiVSiO4
1.0
5.881 0.000 0.000
1.068 6.423 0.000
0.375 2.155 9.231
Li V Si O
4 4 4 16
Cartesian
0.828 2.592 1.574
1.570 6.189 2.323
5.754 2.389 6.908
6.496 5.987 7.657
2.713 5.317 5.308
4.130 7.672 7.332
3.194 0.906 1.900
4.611 3.262 3.924
1.648 2.132 4.546
2.670 3.748 8.128
4.653 4.831 1.103
5.676 6.447 4.686
1.191 5.724 4.223
1.585 2.527 7.857
1.556 1.610 3.004
2.328 5.107 7.231
3.075 7.354 5.628
2.332 2.017 0.480
2.814 3.322 4.686
3.294 5.615 1.633
4.030 2.963 7.598
4.510 5.256 4.546
4.991 6.562 8.751
4.249 1.225 3.604
4.996 3.471 2.000
5.767 6.968 6.228
5.739 6.051 1.375
6.133 2.855 5.009
```

---

No. 4
## LiVSiO4 (PBE with a Hubbard U)

Data for LiVSiO4 after structural relaxation.

Calculated values
Size of the total moment = 0.286 μB per atom
ΔE to the lowest computed polymorph = 0.075 eV per atom
Total energy = -51.039 eV per formula unit

```
LiVSiO4
1.0
5.190 0.000 0.000
0.000 5.892 0.000
-4.223 0.000 9.524
Li V Si O
4 4 4 16
Cartesian
-1.401 0.783 4.146
-3.512 2.163 8.908
4.480 3.729 0.616
2.368 5.109 5.378
-0.372 3.632 6.210
1.740 5.206 1.448
-0.772 0.686 8.076
1.339 2.260 3.314
-0.995 3.829 3.446
-3.107 5.009 8.208
4.074 0.883 1.316
1.963 2.063 6.078
-3.084 3.920 9.420
-0.972 4.918 4.658
0.335 0.799 2.098
-1.777 2.148 6.860
0.237 3.882 2.357
-1.874 4.956 7.119
-2.697 0.491 9.046
-0.586 2.455 4.284
1.553 3.437 5.240
3.665 5.401 0.478
2.842 0.936 2.405
0.730 2.010 7.167
2.744 3.745 2.664
0.633 5.094 7.426
1.940 0.974 4.866
4.051 1.972 0.104
```

---

No. 5
## Li4V2Si3O12 (PBE with a Hubbard U)

Data for Li4V2Si3O12 after structural relaxation.

Calculated values
Size of the total moment = 0.095 μB per atom
Total energy = -147.531 eV per formula unit

```
Li4V2Si3O12
1.0
4.465 2.578 6.718
-4.465 2.578 6.718
0.000 -5.156 6.718
Li V Si O
8 4 6 24
Cartesian
0.000 0.000 0.000
-2.620 0.619 8.398
-1.846 -1.959 11.757
0.774 -2.578 8.398
0.000 0.000 10.077
-0.774 2.578 11.757
1.846 1.959 8.398
2.620 -0.619 11.757
0.000 0.000 2.809
0.000 0.000 7.269
0.000 0.000 12.886
0.000 0.000 17.346
-1.872 -2.578 8.398
-3.169 0.332 11.757
-1.296 2.911 8.398
1.296 -2.910 11.757
3.169 -0.332 8.398
1.872 2.578 11.757
-2.780 -2.520 9.756
-0.879 -3.885 8.251
-3.803 -1.181 11.904
-1.685 0.058 6.397
-3.573 1.147 10.399
-0.879 -1.271 8.545
-2.925 2.703 8.251
0.793 -1.488 6.397
0.793 -3.668 10.399
-1.540 0.125 11.610
-0.662 1.397 8.545
-0.893 -1.431 13.758
0.893 1.431 6.397
0.662 -1.397 11.610
1.540 -0.125 8.545
-0.793 3.668 9.756
-0.793 1.488 13.758
2.925 -2.703 11.904
0.879 1.271 11.610
3.573 -1.147 9.756
1.685 -0.058 13.758
3.803 1.181 8.251
0.879 3.885 11.904
2.780 2.520 10.399
```

---

No. 6
## LiVSiO4 (PBE with a Hubbard U)

Data for LiVSiO4 after structural relaxation.

Calculated values
Size of the total moment = 0.286 μB per atom
ΔE to the lowest computed polymorph = 0.052 eV per atom
Total energy = -51.200 eV per formula unit

```
LiVSiO4
1.0
5.615 0.000 0.000
0.000 10.511 0.000
-0.318 0.000 10.556
Li V Si O
8 8 8 32
Cartesian
0.471 1.619 2.848
0.312 3.636 8.126
2.100 6.489 0.892
1.942 9.278 6.170
3.356 1.233 4.387
3.197 4.022 9.665
4.985 6.875 2.431
4.826 8.892 7.709
0.682 6.627 5.509
0.841 9.139 0.231
1.671 0.922 8.098
1.830 4.334 2.820
3.467 6.177 7.737
3.626 9.590 2.459
4.457 1.372 10.326
4.616 3.884 5.048
0.393 6.238 8.822
0.552 9.528 3.544
2.238 1.558 0.744
2.079 3.698 6.022
3.218 6.814 4.534
3.059 8.953 9.812
4.745 0.983 7.012
4.904 4.273 1.734
-0.052 6.997 7.367
0.107 8.770 2.089
0.570 5.342 1.637
0.411 10.425 6.915
0.469 7.313 10.046
0.628 8.454 4.768
0.853 0.668 0.730
0.694 4.587 6.008
1.790 2.534 7.079
1.949 2.722 1.800
1.892 5.950 4.047
1.733 9.817 9.325
1.778 5.360 8.702
1.937 10.407 3.424
2.425 1.987 9.769
2.584 3.269 4.491
2.714 7.242 6.065
2.873 8.524 0.787
3.361 0.105 7.133
3.519 5.151 1.855
3.564 0.695 1.231
3.405 4.561 6.509
3.348 7.789 8.756
3.507 7.978 3.478
4.603 5.924 4.549
4.444 9.843 9.827
4.669 2.057 5.789
4.828 3.198 0.510
4.886 0.086 3.641
4.727 5.169 8.920
5.190 1.741 8.468
5.349 3.514 3.190
```

---

No. 7
## Li3VSi6O15 (PBE with a Hubbard U)

Data for Li3VSi6O15 after structural relaxation.

Calculated values
Size of the total moment = 0.080 μB per atom
ΔE to the lowest computed polymorph = 0.006 eV per atom
Total energy = -185.197 eV per formula unit

```
Li3VSi6O15
1.0
14.897 0.000 0.000
0.000 8.006 0.000
0.000 0.000 10.031
Li V Si O
12 4 24 60
Cartesian
1.474 2.001 0.700
3.590 0.070 5.047
3.590 3.933 5.047
3.858 4.073 0.031
3.858 7.935 0.031
5.975 6.004 5.715
8.922 2.001 4.315
11.039 0.070 9.999
11.039 3.933 9.999
11.307 4.073 4.984
11.307 7.935 4.984
13.424 6.004 9.331
3.656 6.004 7.599
3.793 2.001 2.584
11.105 6.004 7.447
11.241 2.001 2.431
1.495 0.481 7.962
1.491 2.001 5.323
1.495 3.521 7.962
1.495 6.004 4.771
1.540 4.505 2.137
1.540 7.504 2.137
5.909 0.502 7.152
5.909 3.501 7.152
5.954 2.001 9.786
5.954 4.484 2.947
5.958 6.004 0.308
5.954 7.524 2.947
8.943 0.481 7.084
8.939 2.001 9.723
8.943 3.521 7.084
8.944 6.004 0.245
8.989 4.505 2.879
8.989 7.504 2.879
13.357 0.502 7.894
13.357 3.501 7.894
13.402 2.001 5.260
13.403 4.484 2.069
13.407 6.004 4.708
13.403 7.524 2.069
0.014 2.001 4.622
0.032 0.047 1.722
0.032 3.956 1.722
1.623 0.702 6.341
1.619 2.001 8.688
1.623 3.301 6.341
1.656 4.688 3.767
1.656 7.320 3.767
1.768 6.004 1.481
2.577 0.594 1.569
2.577 3.409 1.569
2.635 4.497 8.509
2.635 7.512 8.509
2.693 6.004 5.808
2.745 2.001 4.349
4.704 6.004 9.364
4.755 2.001 0.793
4.813 0.494 3.493
4.813 3.509 3.493
4.872 4.596 6.584
4.872 7.412 6.584
5.681 2.001 6.496
5.793 0.686 8.783
5.793 3.317 8.783
5.826 4.705 1.326
5.830 6.004 3.672
5.826 7.304 1.326
7.416 4.050 6.738
7.416 7.959 6.738
7.435 6.004 9.638
7.463 2.001 0.393
7.481 0.047 3.293
7.481 3.956 3.293
9.071 0.702 8.705
9.067 2.001 6.359
9.071 3.301 8.705
9.105 4.688 1.248
9.105 7.320 1.248
9.216 6.004 3.534
10.026 0.594 3.447
10.026 3.409 3.447
10.084 4.497 6.538
10.084 7.512 6.538
10.142 6.004 9.238
10.194 2.001 0.667
12.152 6.004 5.682
12.204 2.001 4.222
12.262 0.494 1.522
12.262 3.509 1.522
12.320 4.596 8.462
12.320 7.412 8.462
13.130 2.001 8.550
13.241 0.686 6.263
13.241 3.317 6.263
13.274 4.705 3.690
13.279 6.004 1.343
13.274 7.304 3.690
14.865 4.050 8.309
14.865 7.959 8.309
14.883 6.004 5.409
```

---

No. 8
## LiV2Si2O8 (PBE with a Hubbard U)

Data for LiV2Si2O8 after structural relaxation.

Calculated values
Size of the total moment = 0.231 μB per atom
ΔE to the lowest computed polymorph = 0.000 eV per atom
Total energy = -97.862 eV per formula unit

```
LiV2Si2O8
1.0
4.052 -2.714 0.000
4.052 2.714 0.000
-0.011 0.000 6.320
Li V Si O
1 2 2 8
Cartesian
0.000 0.000 0.000
5.427 0.000 4.653
5.451 0.000 1.581
0.195 0.000 3.160
2.641 0.000 6.315
5.206 1.345 3.204
3.547 0.000 1.322
5.687 1.385 6.245
3.655 0.000 5.022
5.206 -1.345 3.204
7.324 0.000 4.495
7.422 0.000 1.799
5.687 -1.385 6.245
```